[1]
The following is a DFT calculation (PBE) of a geometry-optimized RbNbAs2Se structure.

Cell: 5.2575 5.2575 5.4327 Å, 90.00 90.00 90.00°
Closest atoms and distances in Å follow each position.
Element x y z (fractional)
As 0.0000 0.5000 0.0000  2 Rb 2.63
As 0.5000 0.0000 0.0000  2 Rb 2.63
Nb 0.5000 0.5000 0.5000  4 Se 3.72, 8 As 3.78
Se 0.0000 0.0000 0.5000  2 Rb 2.72
Rb 0.0000 0.0000 0.0000  4 As 2.63, 2 Se 2.72

Computed properties:
Energy above the most stable polymorph in this dataset: 229.9 kJ per mole of atoms
Size of the total moment: 0.0 μB per cell
Uncorrected formation energy: 2066 meV/atom

***

[2]
The following is a DFT calculation (PBE) of a geometry-optimized InSn2As structure.

Cell: 5.2509 5.2509 5.2509 Å, 60.00 60.00 60.00°
Closest atoms and distances in Å follow each position.
Element x y z (fractional)
As 0.0000 0.0000 0.0000  8 Sn 3.22
Sn 0.2500 0.2500 0.2500  4 In 3.22, 4 As 3.22
Sn 0.7500 0.7500 0.7500  4 In 3.22, 4 As 3.22
In 0.5000 0.5000 0.5000  8 Sn 3.22

Computed properties:
Energy of formation: 3.54 kcal/mol of atoms
Energy above the most stable polymorph in this dataset: 13.6 kJ per mole of atoms
Size of the total moment: 0.0 μB per cell

***

[3]
The following is a DFT calculation (PBE) of a geometry-optimized ZrZnIn2 structure.

Cell: 3.4703 3.4703 7.0350 Å, 90.00 90.00 90.13°
Closest atoms and distances in Å follow each position.
Element x y z (fractional)
In 0.0000 0.0000 0.0246  4 Zn 2.92, 4 Zr 3.12-3.13, 1 In 3.17
In 0.0000 0.0000 0.4754  4 Zn 2.92, 4 Zr 3.12-3.13, 1 In 3.17
Zn 0.5000 0.5000 0.2500  8 In 2.92
Zr 0.5000 0.5000 0.7500  8 In 3.12-3.13, 4 Zr 3.47

Computed properties:
Energy of formation: -1.74 kcal/mol of atoms
Size of the total moment: 0.0 μB per cell

***

[4]
The following is a DFT calculation (PBE) of a geometry-optimized CaBiPd4 structure.

Cell: 3.9268 5.2252 6.7846 Å, 104.78 73.18 67.93°
Closest atoms and distances in Å follow each position.
Element x y z (fractional)
Ca 0.5000 0.5000 0.5000  10 Pd 2.94-3.00, 2 Bi 3.16
Bi 0.0000 0.0000 0.0000  10 Pd 2.93-3.02, 2 Ca 3.16
Pd 0.8311 0.5009 0.8368  7 Pd 2.89-3.20, 2 Ca 2.94, 3 Bi 2.95-3.02
Pd 0.3409 0.9871 0.3311  7 Pd 2.91-3.20, 2 Bi 2.93, 3 Ca 2.98-3.00
Pd 0.1689 0.4991 0.1632  7 Pd 2.89-3.20, 2 Ca 2.94, 3 Bi 2.95-3.02
Pd 0.6591 0.0129 0.6689  7 Pd 2.91-3.20, 2 Bi 2.93, 3 Ca 2.98-3.00

Computed properties:
Energy of formation: -9.17 kcal/mol of atoms
Energy above the most stable polymorph in this dataset: 3.5 kJ per mole of atoms
Size of the total moment: 0.0 μB per cell

***

[5]
The following is a DFT calculation (PBE) of a geometry-optimized CaTi2AlV structure.

Cell: 4.5722 5.3665 4.5722 Å, 90.00 90.00 90.00°
Closest atoms and distances in Å follow each position.
Element x y z (fractional)
Ca 0.0000 0.5000 0.0000  2 V 2.68
Ti 0.0000 0.0000 0.5000  2 V 2.29
Ti 0.5000 0.0000 0.0000  2 V 2.29
Al 0.5000 0.5000 0.5000  4 Ca 3.23, 8 Ti 3.53
V 0.0000 0.0000 0.0000  4 Ti 2.29

Computed properties:
Energy of formation: 18.49 kcal/mol of atoms
Size of the total moment: 0.5 μB per cell

***

[6]
The following is a DFT calculation (PBE) of a geometry-optimized YTa2Tc structure.

Cell: 4.8115 4.8115 3.2533 Å, 90.00 90.00 90.00°
Closest atoms and distances in Å follow each position.
Element x y z (fractional)
Ta 0.0000 0.0000 0.0000  4 Tc 2.90, 4 Y 2.90
Ta 0.5000 0.5000 0.0000  4 Y 2.90, 4 Tc 2.90
Tc 0.5000 0.0000 0.5000  8 Ta 2.90
Y 0.0000 0.5000 0.5000  8 Ta 2.90

Computed properties:
Energy of formation: 8.34 kcal/mol of atoms
Energy above the most stable polymorph in this dataset: 30.8 kJ per mole of atoms
Size of the total moment: 0.0 μB per cell